1.
A plane-wave DFT calculation with PBE-GGA was carried out for a relaxed Co2RhCl crystal.

Results
offset from the most stable computed form: 184 kJ/mol of formula units
E: -5.152 eV/atom

Cell: 4.5792 4.5792 4.5792 Å, 130.27 130.27 72.98°
With the nearest neighbours (Å) after each atom.
Fractional coordinates of all 4 atoms:
Co: 0.0000 0.0000 0.0000  4 Co 2.66, 4 Rh 2.66, 4 Cl 2.72
Co: 0.7500 0.2500 0.5000  4 Cl 2.66, 4 Co 2.66, 4 Rh 2.72
Rh: 0.2500 0.7500 0.5000  4 Cl 2.66, 8 Co 2.66-2.72
Cl: 0.5000 0.5000 0.0000  8 Co 2.66-2.72, 4 Rh 2.66



2.
A plane-wave DFT calculation with PBE-GGA was carried out for a relaxed BaGa3Te crystal.

Results
offset from the most stable computed form: 0 kJ/mol of formula units
E: -2.686 eV/atom

Cell: 5.6285 5.6285 5.6285 Å, 90.00 90.00 90.00°
With the nearest neighbours (Å) after each atom.
Fractional coordinates of all 5 atoms:
Ba: 0.0000 0.0000 0.0000  12 Ga 3.98
Ga: 0.0000 0.5000 0.5000  2 Te 2.81
Ga: 0.5000 0.0000 0.5000  2 Te 2.81
Ga: 0.5000 0.5000 0.0000  2 Te 2.81
Te: 0.5000 0.5000 0.5000  6 Ga 2.81



3.
A plane-wave DFT calculation with PBE-GGA was carried out for a relaxed Y9Er4In11 crystal.

Results
energy of formation from the pure elements: -0.401 eV per atom
E: -4.840 eV/atom

Cell: 13.7575 13.7575 3.4698 Å, 90.00 90.00 100.22°
With the nearest neighbours (Å) after each atom.
Fractional coordinates of all 24 atoms:
Y: 0.0000 0.0000 0.0000  4 Er 3.23, 4 In 3.34, 2 Y 3.47
Y: 0.1248 0.6448 0.0000  8 In 3.27-3.47, 1 Er 3.38, 3 Y 3.47-3.62
Y: 0.2918 0.4690 0.0000  8 In 3.23-3.34, 3 Y 3.47-3.62
Y: 0.3552 0.8752 0.0000  8 In 3.27-3.47, 1 Er 3.38, 3 Y 3.47-3.62
Y: 0.4690 0.2918 0.0000  8 In 3.23-3.34, 3 Y 3.47-3.62
Y: 0.5310 0.7082 0.0000  8 In 3.23-3.34, 3 Y 3.47-3.62
Y: 0.6448 0.1248 0.0000  8 In 3.27-3.47, 1 Er 3.38, 3 Y 3.47-3.62
Y: 0.7082 0.5310 0.0000  8 In 3.23-3.34, 3 Y 3.47-3.62
Y: 0.8752 0.3552 0.0000  8 In 3.27-3.47, 1 Er 3.38, 3 Y 3.47-3.62
Er: 0.0710 0.2370 0.0000  6 In 3.18-3.41, 2 Y 3.23-3.38, 3 Er 3.47-3.50
Er: 0.2370 0.0710 0.0000  6 In 3.18-3.41, 2 Y 3.23-3.38, 3 Er 3.47-3.50
Er: 0.7630 0.9290 0.0000  6 In 3.18-3.41, 2 Y 3.23-3.38, 3 Er 3.47-3.50
Er: 0.9290 0.7630 0.0000  6 In 3.18-3.41, 2 Y 3.23-3.38, 3 Er 3.47-3.50
In: 0.0806 0.4346 0.5000  1 In 3.09, 2 Er 3.21, 6 Y 3.33-3.34
In: 0.1354 0.8646 0.5000  6 Y 3.34-3.47, 4 Er 3.41, 2 In 3.47
In: 0.2677 0.2677 0.5000  4 Er 3.18, 4 Y 3.23, 2 In 3.47
In: 0.3295 0.6705 0.5000  8 Y 3.23-3.27, 3 In 3.47-3.60
In: 0.4346 0.0806 0.5000  1 In 3.09, 2 Er 3.21, 6 Y 3.33-3.34
In: 0.5000 0.5000 0.5000  8 Y 3.31, 4 In 3.47-3.60
In: 0.5654 0.9194 0.5000  1 In 3.09, 2 Er 3.21, 6 Y 3.33-3.34
In: 0.6705 0.3295 0.5000  8 Y 3.23-3.27, 3 In 3.47-3.60
In: 0.7323 0.7323 0.5000  4 Er 3.18, 4 Y 3.23, 2 In 3.47
In: 0.8646 0.1354 0.5000  6 Y 3.34-3.47, 4 Er 3.41, 2 In 3.47
In: 0.9194 0.5654 0.5000  1 In 3.09, 2 Er 3.21, 6 Y 3.33-3.34



4.
A plane-wave DFT calculation with PBE-GGA was carried out for a relaxed K12Pb crystal.

Results
energy of formation from the pure elements: -0.001 eV per atom
E: -1.299 eV/atom

Cell: 10.2423 10.2423 10.2423 Å, 109.47 109.47 109.47°
With the nearest neighbours (Å) after each atom.
Fractional coordinates of all 13 atoms:
K: 0.1280 0.8283 0.2997  5 K 4.06-4.36, 1 Pb 4.08
K: 0.1717 0.2997 0.4714  5 K 4.06-4.36, 1 Pb 4.08
K: 0.1717 0.7003 0.8720  5 K 4.06-4.36, 1 Pb 4.08
K: 0.2997 0.1280 0.8283  5 K 4.06-4.36, 1 Pb 4.08
K: 0.2997 0.4714 0.1717  5 K 4.06-4.36, 1 Pb 4.08
K: 0.4714 0.1717 0.2997  5 K 4.06-4.36, 1 Pb 4.08
K: 0.5286 0.8283 0.7003  5 K 4.06-4.36, 1 Pb 4.08
K: 0.7003 0.5286 0.8283  5 K 4.06-4.36, 1 Pb 4.08
K: 0.7003 0.8720 0.1717  5 K 4.06-4.36, 1 Pb 4.08
K: 0.8283 0.2997 0.1280  5 K 4.06-4.36, 1 Pb 4.08
K: 0.8283 0.7003 0.5286  5 K 4.06-4.36, 1 Pb 4.08
K: 0.8720 0.1717 0.7003  5 K 4.06-4.36, 1 Pb 4.08
Pb: 0.0000 0.0000 0.0000  12 K 4.08



5.
A plane-wave DFT calculation with PBE-GGA was carried out for a relaxed KRuRh crystal.

Results
energy of formation from the pure elements: 1.134 eV per atom
offset from the most stable computed form: 188 kJ/mol of formula units
E: -4.774 eV/atom

Cell: 4.8845 4.8845 2.6540 Å, 90.00 90.00 120.00°
With the nearest neighbours (Å) after each atom.
Fractional coordinates of all 3 atoms:
K: 0.0000 0.0000 0.0000  2 K 2.65
Ru: 0.3333 0.6667 0.5000  2 Ru 2.65, 3 Rh 2.82
Rh: 0.6667 0.3333 0.5000  2 Rh 2.65, 3 Ru 2.82



6.
A plane-wave DFT calculation with PBE-GGA was carried out for a relaxed SmHo3Ni4 crystal.

Results
energy of formation from the pure elements: -0.442 eV per atom
E: -5.640 eV/atom

Cell: 5.4405 4.1861 21.2997 Å, 90.00 96.43 90.00°
With the nearest neighbours (Å) after each atom.
Fractional coordinates of all 24 atoms:
Sm: 0.0000 0.0000 0.0000  7 Ni 2.87-2.95
Sm: 0.0048 0.0000 0.5024  7 Ni 2.90-2.95
Sm: 0.7976 0.5000 0.1222  7 Ni 2.87-2.95
Ho: 0.1533 0.0000 0.8327  7 Ni 2.84-2.92
Ho: 0.1568 0.0000 0.3350  7 Ni 2.83-2.92
Ho: 0.3186 0.0000 0.6685  7 Ni 2.85-2.94
Ho: 0.3199 0.0000 0.1695  7 Ni 2.86-2.96
Ho: 0.4778 0.5000 0.9525  7 Ni 2.86-2.96
Ho: 0.4824 0.5000 0.4550  7 Ni 2.85-2.98
Ho: 0.6408 0.5000 0.7873  7 Ni 2.83-2.94
Ho: 0.6430 0.5000 0.2893  7 Ni 2.82-2.92
Ho: 0.7972 0.5000 0.6225  7 Ni 2.83-2.95
Ni: 0.1126 0.5000 0.7396  2 Ni 2.56, 2 Ho 2.86
Ni: 0.1180 0.5000 0.2422  2 Ni 2.56, 2 Ho 2.87
Ni: 0.2841 0.5000 0.0741  2 Ni 2.53
Ni: 0.2879 0.5000 0.5763  2 Ni 2.55, 1 Ho 2.83
Ni: 0.5136 0.0000 0.0479  2 Ni 2.53
Ni: 0.5242 0.0000 0.5508  2 Ni 2.55
Ni: 0.6792 0.0000 0.8799  2 Ni 2.57, 3 Ho 2.87
Ni: 0.6814 0.0000 0.3820  2 Ni 2.56, 2 Ho 2.87
Ni: 0.8472 0.0000 0.7155  2 Ni 2.56, 2 Ho 2.84-2.85
Ni: 0.8514 0.0000 0.2185  2 Ni 2.56, 2 Ho 2.83-2.86
Ni: 0.9463 0.5000 0.9036  2 Ni 2.57, 2 Ho 2.83-2.86
Ni: 0.9484 0.5000 0.4054  2 Ni 2.56, 2 Ho 2.82-2.85



7.
A plane-wave DFT calculation with PBE-GGA was carried out for a relaxed Tm7Ag2Rh2 crystal.

Results
energy of formation from the pure elements: -0.354 eV per atom
offset from the most stable computed form: 129 kJ/mol of formula units
E: -5.055 eV/atom

Cell: 6.6083 6.6083 6.9846 Å, 90.00 90.00 107.35°
With the nearest neighbours (Å) after each atom.
Fractional coordinates of all 11 atoms:
Tm: 0.0000 0.0000 0.0000  2 Rh 3.07
Tm: 0.0000 0.5000 0.2559  2 Rh 2.68
Tm: 0.0000 0.5000 0.7441  2 Rh 2.68
Tm: 0.5000 0.0000 0.2559  2 Rh 2.68
Tm: 0.5000 0.0000 0.7441  2 Rh 2.68
Tm: 0.5000 0.5000 0.2493  2 Rh 2.85, 2 Ag 3.04
Tm: 0.5000 0.5000 0.7507  2 Rh 2.85, 2 Ag 3.04
Ag: 0.1827 0.1827 0.5000  1 Ag 2.86, 2 Tm 3.04
Ag: 0.8173 0.8173 0.5000  1 Ag 2.86, 2 Tm 3.04
Rh: 0.2879 0.7121 0.0000  6 Tm 2.68-2.85
Rh: 0.7121 0.2879 0.0000  6 Tm 2.68-2.85



8.
A plane-wave DFT calculation with PBE-GGA was carried out for a relaxed VNi8Pt6 crystal.

Results
energy of formation from the pure elements: 0.044 eV per atom
offset from the most stable computed form: 42 kJ/mol of formula units
E: -6.064 eV/atom

Cell: 7.0255 7.0255 4.7000 Å, 90.00 90.00 120.00°
With the nearest neighbours (Å) after each atom.
Fractional coordinates of all 15 atoms:
V: 0.0000 0.0000 0.0000  6 Ni 2.29
Ni: 0.0544 0.2756 0.6930  1 V 2.29, 3 Ni 2.45-2.54, 2 Pt 2.53-2.54
Ni: 0.2212 0.9456 0.6930  1 V 2.29, 3 Ni 2.45-2.54, 2 Pt 2.53-2.54
Ni: 0.2756 0.2212 0.3070  1 V 2.29, 3 Ni 2.45-2.54, 2 Pt 2.53-2.54
Ni: 0.3333 0.6667 0.6911  3 Ni 2.45
Ni: 0.6667 0.3333 0.3089  3 Ni 2.45
Ni: 0.7244 0.7788 0.6930  1 V 2.29, 3 Ni 2.45-2.54, 2 Pt 2.53-2.54
Ni: 0.7788 0.0544 0.3070  1 V 2.29, 3 Ni 2.45-2.54, 2 Pt 2.53-2.54
Ni: 0.9456 0.7244 0.3070  1 V 2.29, 3 Ni 2.45-2.54, 2 Pt 2.53-2.54
Pt: 0.0960 0.4496 0.2060  7 Ni 2.53-2.79, 3 Pt 2.65-2.77
Pt: 0.3536 0.9040 0.2060  7 Ni 2.53-2.79, 3 Pt 2.65-2.77
Pt: 0.4496 0.3536 0.7940  7 Ni 2.53-2.79, 3 Pt 2.65-2.77
Pt: 0.5504 0.6464 0.2060  7 Ni 2.53-2.79, 3 Pt 2.65-2.77
Pt: 0.6464 0.0960 0.7940  7 Ni 2.53-2.79, 3 Pt 2.65-2.77
Pt: 0.9040 0.5504 0.7940  7 Ni 2.53-2.79, 3 Pt 2.65-2.77



9.
A plane-wave DFT calculation with PBE-GGA was carried out for a relaxed LiLa5Tl2 crystal.

Results
energy of formation from the pure elements: -0.213 eV per atom
E: -4.124 eV/atom

Cell: 7.0137 7.0137 7.0137 Å, 118.22 118.22 93.12°
With the nearest neighbours (Å) after each atom.
Fractional coordinates of all 8 atoms:
Li: 0.0000 0.0000 0.0000  8 La 3.51, 4 Tl 3.60
La: 0.0000 0.0000 0.5000  4 Tl 3.51, 2 Li 3.51, 6 La 3.51-3.60
La: 0.0000 0.5000 0.0000  4 Tl 3.51, 6 La 3.51-3.60, 2 Li 3.51
La: 0.5000 0.0000 0.0000  4 Tl 3.51, 6 La 3.51-3.60, 2 Li 3.51
La: 0.5000 0.5000 0.0000  8 La 3.51, 4 Tl 3.60
La: 0.5000 0.5000 0.5000  4 Tl 3.51, 6 La 3.51-3.60, 2 Li 3.51
Tl: 0.0000 0.5000 0.5000  10 La 3.51-3.60, 2 Li 3.60
Tl: 0.5000 0.0000 0.5000  10 La 3.51-3.60, 2 Li 3.60



10.
A plane-wave DFT calculation with PBE-GGA was carried out for a relaxed ZnHgIr2 crystal.

Results
energy of formation from the pure elements: 0.229 eV per atom
E: -4.595 eV/atom

Cell: 2.8473 4.2797 5.4533 Å, 90.00 104.69 90.00°
With the nearest neighbours (Å) after each atom.
Fractional coordinates of all 4 atoms:
Zn: 0.0000 0.0000 0.0000  4 Ir 2.55, 2 Hg 2.73, 2 Zn 2.85
Hg: 0.0000 0.0000 0.5000  2 Zn 2.73, 2 Hg 2.85, 8 Ir 2.96
Ir: 0.3683 0.5000 0.2217  2 Zn 2.55, 4 Ir 2.71-2.85
Ir: 0.6317 0.5000 0.7783  2 Zn 2.55, 4 Ir 2.71-2.85



no.,volume (A^3/atom),Fermi-level density of states (states/eV/f.u.)
1,13.65,5.405
2,35.66,4.058
3,26.93,18.655
4,63.63,11.531
5,18.28,4.373
6,20.08,5.293
7,26.47,10.705
8,13.39,24.572
9,31.27,10.467
10,16.07,2.538